1.
This record from the Alexandria database describes a geometry-optimized CrTcP structure. The functional is PBE.

```
CrTcP
1.0
3.547 0.000 0.000
0.000 3.547 0.000
0.000 0.000 6.028
Cr Tc P
2 2 2
direct
0.250 0.750 0.000
0.750 0.250 0.000
0.250 0.250 0.343
0.750 0.750 0.657
0.250 0.250 0.731
0.750 0.750 0.269
```

Output
space-group type = P4/nmm (129)
formation enthalpy at 0 K = -0.402 eV/atom

2.
This record from the Alexandria database describes a geometry-optimized Na2TcF structure. The functional is PBE.

```
Na2TcF
1.0
6.835 0.000 0.000
0.000 6.835 0.000
0.000 0.000 7.828
Na Tc F
8 4 4
direct
0.130 0.750 0.125
0.250 0.130 0.875
0.250 0.370 0.375
0.370 0.750 0.625
0.630 0.250 0.625
0.750 0.630 0.375
0.750 0.870 0.875
0.870 0.250 0.125
0.000 0.000 0.500
0.000 0.500 0.750
0.500 0.000 0.250
0.500 0.500 0.000
0.000 0.000 0.000
0.000 0.500 0.250
0.500 0.000 0.750
0.500 0.500 0.500
```

Output
space-group type = I-42d (122)
E_tot = -3.7928 eV/atom

3.
This record from the Alexandria database describes a geometry-optimized Cs2ZrSbCl6 structure. The functional is PBE.

```
Cs2ZrSbCl6
1.0
-3.817 3.817 6.430
3.817 -3.817 6.430
3.817 3.817 -6.430
Cs Zr Sb Cl
2 1 1 6
direct
0.250 0.750 0.500
0.750 0.250 0.500
0.000 0.000 0.000
0.500 0.500 0.000
0.196 0.196 0.000
0.233 0.233 0.467
0.233 0.767 0.000
0.767 0.233 0.000
0.767 0.767 0.533
0.804 0.804 0.000
```

Output
space-group type = I4/mmm (139)
E_tot = -3.9641 eV/atom

4.
This record from the Alexandria database describes a geometry-optimized Ho2Zr3UN6 structure. The functional is PBE.

```
Ho2Zr3UN6
1.0
2.894 -5.011 0.000
2.894 5.011 0.000
-1.912 0.000 5.459
Ho Zr U N
2 3 1 6
direct
0.167 0.833 0.000
0.833 0.167 0.000
0.000 0.000 0.500
0.329 0.671 0.500
0.671 0.329 0.500
0.500 0.500 0.000
0.092 0.415 0.744
0.264 0.264 0.255
0.415 0.092 0.744
0.585 0.908 0.256
0.736 0.736 0.745
0.908 0.585 0.256
```

Output
space-group type = C2/m (12)
E_tot = -9.6929 eV/atom

5.
This record from the Alexandria database describes a geometry-optimized LaFeTc2 structure. The functional is PBE.

```
LaFeTc2
1.0
2.905 0.000 0.000
0.000 4.731 0.000
0.000 0.000 10.005
La Fe Tc
2 2 4
direct
0.000 0.000 0.000
0.500 0.500 0.500
0.000 0.000 0.500
0.500 0.500 0.000
0.000 0.500 0.212
0.000 0.500 0.788
0.500 0.000 0.288
0.500 0.000 0.712
```

Output
space-group type = Immm (71)
formation enthalpy at 0 K = 0.459 eV/atom

6.
This record from the Alexandria database describes a geometry-optimized Sc2NiRhC structure. The functional is PBE.

```
Sc2NiRhC
1.0
4.577 0.000 0.000
0.000 4.577 0.000
0.000 0.000 3.563
Sc Ni Rh C
2 1 1 1
direct
0.000 0.500 0.000
0.500 0.000 0.000
0.000 0.000 0.500
0.500 0.500 0.500
0.000 0.000 0.000
```

Output
space-group type = P4/mmm (123)
formation enthalpy at 0 K = -0.502 eV/atom

7.
This record from the Alexandria database describes a geometry-optimized PmYTe2O8 structure. The functional is PBE.

```
PmYTe2O8
1.0
-3.733 3.733 3.454
3.733 -3.733 3.454
3.733 3.733 -3.454
Pm Y Te O
1 1 2 8
direct
0.000 0.000 0.000
0.250 0.750 0.500
0.500 0.500 0.000
0.750 0.250 0.500
0.300 0.112 0.812
0.300 0.488 0.188
0.370 0.052 0.319
0.512 0.700 0.812
0.733 0.052 0.681
0.888 0.700 0.188
0.948 0.267 0.319
0.948 0.630 0.681
```

Output
space-group type = I-4m2 (119)
E_tot = -6.6903 eV/atom

8.
This record from the Alexandria database describes a geometry-optimized YTm4Cd2 structure. The functional is PBE.

```
YTm4Cd2
1.0
2.519 1.454 10.181
-2.519 1.454 10.181
0.000 -2.908 10.181
Y Tm Cd
1 4 2
direct
0.000 0.000 0.000
0.202 0.202 0.202
0.396 0.396 0.396
0.604 0.604 0.604
0.798 0.798 0.798
0.101 0.101 0.101
0.899 0.899 0.899
```

Output
space-group type = R-3m (166)
formation enthalpy at 0 K = 0.219 eV/atom

9.
This record from the Alexandria database describes a geometry-optimized NdSc2Co structure. The functional is PBE.

```
NdSc2Co
1.0
3.701 0.000 0.000
-1.851 3.205 0.000
0.000 0.000 24.612
Nd Sc Co
3 6 3
direct
0.000 0.000 0.000
0.333 0.667 0.667
0.667 0.333 0.333
0.000 0.000 0.551
0.000 0.000 0.779
0.333 0.667 0.218
0.333 0.667 0.445
0.667 0.333 0.112
0.667 0.333 0.885
0.000 0.000 0.166
0.333 0.667 0.832
0.667 0.333 0.499
```

Output
space-group type = R3m (160)
formation enthalpy at 0 K = -0.033 eV/atom

10.
This record from the Alexandria database describes a geometry-optimized Cr2CuH structure. The functional is PBE.

```
Cr2CuH
1.0
5.512 0.000 0.000
0.000 5.512 0.000
0.000 0.000 5.195
Cr Cu H
8 4 4
direct
0.150 0.750 0.125
0.250 0.150 0.875
0.250 0.350 0.375
0.350 0.750 0.625
0.650 0.250 0.625
0.750 0.650 0.375
0.750 0.850 0.875
0.850 0.250 0.125
0.000 0.000 0.500
0.000 0.500 0.750
0.500 0.000 0.250
0.500 0.500 0.000
0.000 0.000 0.000
0.000 0.500 0.250
0.500 0.000 0.750
0.500 0.500 0.500
```

Output
space-group type = I-42d (122)
E_tot = -6.2030 eV/atom

11.
This record from the Alexandria database describes a geometry-optimized SrUTl2Se6 structure. The functional is PBE.

```
SrUTl2Se6
1.0
7.454 0.000 0.000
0.000 7.616 0.000
-7.235 0.000 11.103
Sr U Tl Se
2 2 4 12
direct
0.000 0.000 0.000
0.000 0.500 0.500
0.500 0.000 0.500
0.500 0.500 0.000
0.221 0.034 0.744
0.221 0.466 0.244
0.779 0.534 0.756
0.779 0.966 0.256
0.162 0.086 0.267
0.162 0.414 0.767
0.237 0.647 0.053
0.237 0.853 0.553
0.433 0.190 0.068
0.433 0.310 0.568
0.567 0.690 0.432
0.567 0.810 0.932
0.763 0.147 0.447
0.763 0.353 0.947
0.838 0.586 0.233
0.838 0.914 0.733
```

Output
space-group type = P2_1/c (14)
E_tot = -4.6552 eV/atom

12.
This record from the Alexandria database describes a geometry-optimized SrGaGe2 structure. The functional is PBE.

```
SrGaGe2
1.0
11.572 0.000 0.000
0.000 4.324 0.000
-1.603 0.000 4.011
Sr Ga Ge
2 2 4
direct
0.000 0.000 0.000
0.500 0.500 0.000
0.250 0.000 0.753
0.750 0.500 0.753
0.118 0.500 0.611
0.382 0.000 0.384
0.618 0.000 0.611
0.882 0.500 0.384
```

Output
space-group type = Cm (8)
formation enthalpy at 0 K = -0.292 eV/atom